No. 1
# Ca2VIrO (PBE with a Hubbard U, relaxed)
data_Ca2VIrO
_chemical_formula_sum 'Ca2 V1 Ir1 O1'
_symmetry_space_group_name_H-M 'P 4/m m m'
_symmetry_Int_Tables_number 123
_symmetry_space_group_name_Hall '-P 4 2'
_cell_length_a 5.6393
_cell_length_b 5.6393
_cell_length_c 4.4165
_cell_angle_alpha 90.00
_cell_angle_beta 90.00
_cell_angle_gamma 90.00
loop_
_atom_site_label
_atom_site_fract_x
_atom_site_fract_y
_atom_site_fract_z
_atom_site_occupancy
Ca1 0.0000 0.5000 0.0000 1
V1 0.0000 0.0000 0.0000 1
Ir1 0.0000 0.0000 0.5000 1
O1 0.5000 0.5000 0.5000 1
# Fermi-level density of states	4.82	states/eV/cell
# spin magnetization	3.73	μB/f.u.
# volume	140.45	Å³/f.u.
# electronic total energy	-4.2182	eV per atom

***

No. 2
# CaVIrO5 (PBE with a Hubbard U, relaxed)
data_CaVIrO5
_chemical_formula_sum 'Ca4 V4 Ir4 O20'
_symmetry_space_group_name_H-M 'C 1 2/c 1'
_symmetry_Int_Tables_number 15
_cell_length_a 6.7106
_cell_length_b 9.2462
_cell_length_c 7.2081
_cell_angle_alpha 90.00
_cell_angle_beta 113.17
_cell_angle_gamma 90.00
loop_
_symmetry_equiv_pos_as_xyz
'x,y,z'
'-x,-y,-z'
'-x,y,-z+1/2'
'x,-y,z+1/2'
'x+1/2,y+1/2,z'
'-x+1/2,-y+1/2,-z'
'-x+1/2,y+1/2,-z+1/2'
'x+1/2,-y+1/2,z+1/2'
loop_
_atom_site_label
_atom_site_fract_x
_atom_site_fract_y
_atom_site_fract_z
_atom_site_occupancy
Ca1 0.0000 0.1681 0.2500 1
V1 0.0000 0.1801 0.7500 1
Ir1 0.0000 0.5000 0.0000 1
O1 0.0000 0.4206 0.2500 1
O2 0.1123 0.2972 0.6115 1
O3 0.1843 0.0543 0.9294 1
# Fermi-level density of states	14.07	states/eV/cell
# spin magnetization	1.15	μB/f.u.
# volume	102.79	Å³/f.u.
# electronic total energy	-7.1853	eV per atom

***

No. 3
# Ca2VIrO6 (PBE with a Hubbard U, relaxed)
data_Ca2VIrO6
_chemical_formula_sum 'Ca4 V2 Ir2 O12'
_symmetry_space_group_name_H-M 'P 1 21/c 1'
_symmetry_Int_Tables_number 14
_cell_length_a 5.3682
_cell_length_b 5.5313
_cell_length_c 9.3359
_cell_angle_alpha 90.00
_cell_angle_beta 124.77
_cell_angle_gamma 90.00
loop_
_symmetry_equiv_pos_as_xyz
'x,y,z'
'-x,-y,-z'
'-x,y+1/2,-z+1/2'
'x,-y+1/2,z+1/2'
loop_
_atom_site_label
_atom_site_fract_x
_atom_site_fract_y
_atom_site_fract_z
_atom_site_occupancy
Ca1 0.2355 0.0541 0.2489 1
V1 0.5000 0.0000 0.0000 1
Ir1 0.0000 0.0000 0.5000 1
O1 0.1659 0.1956 0.9566 1
O2 0.2593 0.7139 0.9526 1
O3 0.3474 0.0225 0.7581 1
# Fermi-level density of states	0.30	states/eV/cell
# spin magnetization	0.00	μB/f.u.
# volume	113.85	Å³/f.u.
# offset from the most stable computed form	0.0	meV/atom
# electronic total energy	-7.0664	eV per atom

***

> Fermi-level density of states of number 2 (CaVIrO5)?

14.07 states/eV/cell